1.
The following is a GGA-PBE calculation of an optimized crystal structure of Mn3CdTe4, from Alexandria via LeMat-Bulk.

Results
For the total energy, the calculation gives -5.21 eV/atom. The value obtained for the density is 6.4 Mg/m³. The crystal system is tetragonal. As for the symmetry: No. 123.

```
data_Mn3CdTe4
_cell_length_a 4.148
_cell_length_b 4.148
_cell_length_c 11.818
_cell_angle_alpha 90.00
_cell_angle_beta 90.00
_cell_angle_gamma 90.00
_space_group_name_H-M_alt 'P 1'
_space_group_IT_number 1
_space_group_name_Hall 'P 1'
loop_
_atom_site_label
_atom_site_type_symbol
_atom_site_fract_x
_atom_site_fract_y
_atom_site_fract_z
_atom_site_occupancy
Mn1 Mn 0.000 0.000 0.000 1
Mn2 Mn 0.500 0.500 0.247 1
Mn3 Mn 0.500 0.500 0.753 1
Cd1 Cd 0.000 0.000 0.500 1
Te1 Te 0.000 0.000 0.238 1
Te2 Te 0.000 0.000 0.762 1
Te3 Te 0.500 0.500 0.000 1
Te4 Te 0.500 0.500 0.500 1
```

2.
The following is a GGA-PBE calculation of an optimized crystal structure of Mn2CdTe, from Alexandria via LeMat-Bulk.

Results
For the total energy, the calculation gives -5.24 eV/atom. The value obtained for the density is 6.6 Mg/m³. The crystal system is trigonal. As for the symmetry: No. 166.

```
data_Mn2CdTe
_cell_length_a 7.445
_cell_length_b 7.445
_cell_length_c 7.445
_cell_angle_alpha 29.43
_cell_angle_beta 29.43
_cell_angle_gamma 29.43
_space_group_name_H-M_alt 'P 1'
_space_group_IT_number 1
_space_group_name_Hall 'P 1'
loop_
_atom_site_label
_atom_site_type_symbol
_atom_site_fract_x
_atom_site_fract_y
_atom_site_fract_z
_atom_site_occupancy
Mn1 Mn 0.248 0.248 0.248 1
Mn2 Mn 0.752 0.752 0.752 1
Cd1 Cd 0.000 0.000 0.000 1
Te1 Te 0.500 0.500 0.500 1
```

3.
The following is a GGA-PBE calculation of an optimized crystal structure of MnCdTe, from Alexandria via LeMat-Bulk.

Results
For the total energy, the calculation gives -4.20 eV/atom. The value obtained for the density is 7.2 Mg/m³. The crystal system is tetragonal. As for the symmetry: No. 107.

```
data_MnCdTe
_cell_length_a 6.421
_cell_length_b 6.421
_cell_length_c 6.421
_cell_angle_alpha 149.49
_cell_angle_beta 149.49
_cell_angle_gamma 43.69
_space_group_name_H-M_alt 'P 1'
_space_group_IT_number 1
_space_group_name_Hall 'P 1'
loop_
_atom_site_label
_atom_site_type_symbol
_atom_site_fract_x
_atom_site_fract_y
_atom_site_fract_z
_atom_site_occupancy
Mn1 Mn 0.000 0.000 0.000 1
Cd1 Cd 0.650 0.650 0.000 1
Te1 Te 0.382 0.382 0.000 1
```

4.
The following is a GGA-PBE calculation of an optimized crystal structure of Mn2CdTe, from Alexandria via LeMat-Bulk.

Results
For the total energy, the calculation gives -5.25 eV/atom. The value obtained for the density is 6.9 Mg/m³. The crystal system is monoclinic. As for the symmetry: No. 12.

```
data_Mn2CdTe
_cell_length_a 4.591
_cell_length_b 4.591
_cell_length_c 5.699
_cell_angle_alpha 103.80
_cell_angle_beta 103.80
_cell_angle_gamma 46.59
_space_group_name_H-M_alt 'P 1'
_space_group_IT_number 1
_space_group_name_Hall 'P 1'
loop_
_atom_site_label
_atom_site_type_symbol
_atom_site_fract_x
_atom_site_fract_y
_atom_site_fract_z
_atom_site_occupancy
Mn1 Mn 0.248 0.248 0.271 1
Mn2 Mn 0.752 0.752 0.729 1
Cd1 Cd 0.000 0.000 0.500 1
Te1 Te 0.500 0.500 0.000 1
```

5.
The following is a GGA-PBE calculation of an optimized crystal structure of Mn2CdTe, from Alexandria via LeMat-Bulk.

Results
For the total energy, the calculation gives -5.07 eV/atom. The value obtained for the density is 6.4 Mg/m³. The crystal system is tetragonal. As for the symmetry: No. 122.

```
data_Mn2CdTe
_cell_length_a 9.732
_cell_length_b 9.732
_cell_length_c 9.732
_cell_angle_alpha 153.64
_cell_angle_beta 153.64
_cell_angle_gamma 37.62
_space_group_name_H-M_alt 'P 1'
_space_group_IT_number 1
_space_group_name_Hall 'P 1'
loop_
_atom_site_label
_atom_site_type_symbol
_atom_site_fract_x
_atom_site_fract_y
_atom_site_fract_z
_atom_site_occupancy
Mn1 Mn 0.121 0.625 0.996 1
Mn2 Mn 0.375 0.371 0.496 1
Mn3 Mn 0.629 0.125 0.004 1
Mn4 Mn 0.875 0.879 0.504 1
Cd1 Cd 0.250 0.750 0.500 1
Cd2 Cd 0.500 0.500 0.000 1
Te1 Te 0.000 0.000 0.000 1
Te2 Te 0.750 0.250 0.500 1
```

6.
The following is a GGA-PBE calculation of an optimized crystal structure of Mn2CdTe, from Alexandria via LeMat-Bulk.

Results
For the total energy, the calculation gives -5.37 eV/atom. The value obtained for the density is 6.7 Mg/m³. The crystal system is trigonal. As for the symmetry: No. 160.

```
data_Mn2CdTe
_cell_length_a 6.650
_cell_length_b 6.650
_cell_length_c 6.650
_cell_angle_alpha 34.98
_cell_angle_beta 34.98
_cell_angle_gamma 34.98
_space_group_name_H-M_alt 'P 1'
_space_group_IT_number 1
_space_group_name_Hall 'P 1'
loop_
_atom_site_label
_atom_site_type_symbol
_atom_site_fract_x
_atom_site_fract_y
_atom_site_fract_z
_atom_site_occupancy
Mn1 Mn 0.000 0.000 0.000 1
Mn2 Mn 0.305 0.305 0.305 1
Cd1 Cd 0.547 0.547 0.547 1
Te1 Te 0.742 0.742 0.742 1
```

7.
The following is a GGA-PBE calculation of an optimized crystal structure of Mn2CdTe3, from Alexandria via LeMat-Bulk.

Results
For the total energy, the calculation gives -4.90 eV/atom. The value obtained for the density is 6.6 Mg/m³. The crystal system is trigonal. As for the symmetry: No. 164.

```
data_Mn2CdTe3
_cell_length_a 4.103
_cell_length_b 4.103
_cell_length_c 10.435
_cell_angle_alpha 90.00
_cell_angle_beta 90.00
_cell_angle_gamma 120.00
_space_group_name_H-M_alt 'P 1'
_space_group_IT_number 1
_space_group_name_Hall 'P 1'
loop_
_atom_site_label
_atom_site_type_symbol
_atom_site_fract_x
_atom_site_fract_y
_atom_site_fract_z
_atom_site_occupancy
Mn1 Mn 0.333 0.667 0.159 1
Mn2 Mn 0.667 0.333 0.841 1
Cd1 Cd 0.000 0.000 0.500 1
Te1 Te 0.000 0.000 0.000 1
Te2 Te 0.333 0.667 0.691 1
Te3 Te 0.667 0.333 0.309 1
```

8.
The following is a GGA-PBE calculation of an optimized crystal structure of Mn2CdTe, from Alexandria via LeMat-Bulk.

Results
For the total energy, the calculation gives -5.28 eV/atom. The value obtained for the density is 7.6 Mg/m³. The crystal system is tetragonal. As for the symmetry: No. 119.

```
data_Mn2CdTe
_cell_length_a 5.496
_cell_length_b 5.496
_cell_length_c 5.496
_cell_angle_alpha 136.84
_cell_angle_beta 136.84
_cell_angle_gamma 62.69
_space_group_name_H-M_alt 'P 1'
_space_group_IT_number 1
_space_group_name_Hall 'P 1'
loop_
_atom_site_label
_atom_site_type_symbol
_atom_site_fract_x
_atom_site_fract_y
_atom_site_fract_z
_atom_site_occupancy
Mn1 Mn 0.000 0.000 0.000 1
Mn2 Mn 0.750 0.250 0.500 1
Cd1 Cd 0.250 0.750 0.500 1
Te1 Te 0.500 0.500 0.000 1
```